VASP calculation (PBE) on a relaxed structure of Dy2YAl3Cu2Pd.

Output
Density: 6.9 g cm⁻³
E: -89.52 eV for the cell shown
Total moment: 0.05 μB per cell

Lattice parameters (Å, degrees): 4.078 12.210 7.029 90.00 90.00 90.00
Space group Amm2 (No. 38)
Inequivalent atoms, fractional coordinates:
Dy 0.000 0.209 0.000 x4
Y 0.000 0.000 0.628 x2
Al 0.500 0.000 0.970 x2
Al 0.500 0.119 0.329 x4
Cu 0.500 0.168 0.709 x4
Pd 0.000 0.000 0.208 x2